# 1
SmCd5: relaxed, PBE-GGA.

M_tot = 0.00 μB/f.u.
N(E_F) = 0.43 states/eV/atom
Mass density = 8.184 Mg/m³
DFT total energy = -1.768 eV per atom
Energy of formation from the pure elements = -0.2187 eV per atom

Cell lengths 4.9545, 5.0771, 6.6384 Å; angles 96.45, 90.00, 119.20 degrees
Fractional coordinates of all 6 atoms:
Cd 0.6416 0.2831 0.7484
Cd 0.3584 0.7169 0.2516
Cd 0.6866 0.3732 0.2512
Cd 0.3134 0.6268 0.7488
Cd 0.0000 0.0000 0.5000
Sm 0.0000 0.0000 0.0000

# 2
ZrZnSI2: relaxed, PBE-GGA.

M_tot = 1.40 μB/f.u.
N(E_F) = 0.93 states/eV/atom
Mass density = 4.121 Mg/m³
DFT total energy = -3.067 eV per atom
Uncorrected formation energy = 0.34 eV/atom

Cell lengths 5.6106, 5.6639, 5.6106 Å; angles 90.00, 90.00, 90.00 degrees
Site moments in Bohr magnetons follow the coordinates.
Fractional coordinates of all 5 atoms:
I 0.5000 0.0000 0.0000  -0.01
I 0.0000 0.0000 0.5000  -0.03
Zn 0.0000 0.5000 0.0000  -0.01
S 0.5000 0.5000 0.5000  -0.72
Zr 0.0000 0.0000 0.0000  -0.05

# 3
Tm5Te4As: relaxed, PBE-GGA.

M_tot = 0.00 μB/f.u.
N(E_F) = 0.58 states/eV/atom
Mass density = 8.698 Mg/m³
Energy above the lowest structure with this stoichiometry = 4 meV/atom
DFT total energy = -5.227 eV per atom
Uncorrected formation energy = -1.27 eV/atom

Cell lengths 5.9895, 7.3857, 7.3857 Å; angles 80.54, 66.08, 66.08 degrees
Fractional coordinates of all 10 atoms:
Tm 0.1003 0.6294 0.1718
Tm 0.5015 0.0000 0.0000
Tm 0.9015 0.3706 0.8282
Tm 0.2721 0.8282 0.6294
Tm 0.7297 0.1718 0.3706
Te 0.1928 0.2183 0.3980
Te 0.4111 0.3980 0.7817
Te 0.8091 0.7817 0.6020
Te 0.5908 0.6020 0.2183
As 0.0014 0.0000 0.0000

# 4
SbRh2Pb: relaxed, PBE-GGA.

M_tot = 0.00 μB/f.u.
N(E_F) = 0.41 states/eV/atom
Mass density = 11.154 Mg/m³
Energy above the lowest structure with this stoichiometry = 0 meV/atom
DFT total energy = -5.961 eV per atom
Uncorrected formation energy = -0.33 eV/atom

Cell lengths 5.9105, 6.7225, 8.0145 Å; angles 90.00, 90.01, 90.00 degrees
Fractional coordinates of all 16 atoms:
Rh 0.9929 0.2067 0.3935
Rh 0.4929 0.2933 0.3935
Rh 0.0060 0.7902 0.1484
Rh 0.9940 0.2098 0.8516
Rh 0.0071 0.7933 0.6065
Rh 0.5071 0.7067 0.6065
Rh 0.4940 0.2902 0.8516
Rh 0.5060 0.7098 0.1484
Pb 0.2892 0.8996 0.8800
Pb 0.2108 0.3996 0.1200
Pb 0.7108 0.1004 0.1200
Pb 0.7892 0.6004 0.8800
Sb 0.1996 0.4238 0.6256
Sb 0.3004 0.9238 0.3744
Sb 0.8004 0.5762 0.3744
Sb 0.6996 0.0762 0.6256

# 5
InNiRh: relaxed, PBE-GGA.

M_tot = 0.33 μB/f.u.
N(E_F) = 1.04 states/eV/atom
Mass density = 9.804 Mg/m³
Energy above the lowest structure with this stoichiometry = 55 meV/atom
DFT total energy = -5.336 eV per atom
Energy of formation from the pure elements = -0.0457 eV per atom

Cell lengths 4.2599, 4.2599, 2.9790 Å; angles 90.00, 90.00, 120.00 degrees
Site moments in Bohr magnetons follow the coordinates.
Fractional coordinates of all 3 atoms:
In 0.0000 0.0000 0.0001  -0.01
Ni 0.6667 0.3333 0.4995  0.26
Rh 0.3333 0.6667 0.5003  0.09

# 6
PrEr2ThS4: relaxed, PBE-GGA.

M_tot = 0.00 μB/f.u.
N(E_F) = 0.42 states/eV/atom
Mass density = 7.848 Mg/m³
DFT total energy = -6.667 eV per atom
Uncorrected formation energy = -1.94 eV/atom

Cell lengths 3.9126, 7.0152, 6.8052 Å; angles 71.21, 90.00, 90.00 degrees
Fractional coordinates of all 8 atoms:
S 0.5000 0.2300 0.7548
S 0.0000 0.2287 0.2593
S 0.0000 0.7713 0.7407
S 0.5000 0.7700 0.2452
Er 0.0000 0.0000 0.0000
Er 0.5000 0.0000 0.5000
Pr 0.5000 0.5000 0.0000
Th 0.0000 0.5000 0.5000

# 7
NaTl2Ga2Te4: relaxed, PBE-GGA.

M_tot = 0.00 μB/f.u.
N(E_F) = 0.12 states/eV/atom
Mass density = 5.787 Mg/m³
DFT total energy = -3.140 eV per atom
Uncorrected formation energy = -0.40 eV/atom

Cell lengths 4.6737, 8.8573, 8.1582 Å; angles 107.04, 90.00, 105.30 degrees
Fractional coordinates of all 9 atoms:
Ga 0.3267 0.6534 0.0110
Ga 0.6733 0.3466 0.9890
Tl 0.1181 0.2363 0.5547
Tl 0.8819 0.7637 0.4453
Te 0.2079 0.4158 0.1798
Te 0.4700 0.9400 0.2541
Te 0.5300 0.0600 0.7459
Te 0.7921 0.5842 0.8202
Na 0.0000 0.0000 0.0000

# 8
BaZnBr2: relaxed, PBE-GGA.

M_tot = 0.00 μB/f.u.
N(E_F) = 0.00 states/eV/atom
Mass density = 4.697 Mg/m³
Energy above the lowest structure with this stoichiometry = 241 meV/atom
DFT total energy = -2.737 eV per atom
Uncorrected formation energy = -1.10 eV/atom

Cell lengths 5.6595, 5.6595, 5.6595 Å; angles 60.00, 60.00, 60.00 degrees
Fractional coordinates of all 4 atoms:
Zn 0.7500 0.7500 0.7500
Ba 0.5000 0.5000 0.5000
Br 0.0000 0.0000 0.0000
Br 0.2500 0.2500 0.2500